Arrangement A

Computed, not measured: a relaxed structure of Pr5Y2Mg at the PBE level of DFT.

- crystal system = orthorhombic

a b c (Å): 7.355 11.583 12.722
angles (deg): 90.00 90.00 90.00
Space group Fmm2 (No. 42)
Symmetry-distinct sites (fractional):
Pr (0.000, 0.000, 0.000)
Pr (0.238, 0.000, 0.241)
Pr (0.250, 0.250, 0.409)
Y (0.000, 0.241, 0.656)
Mg (0.000, 0.000, 0.495)

---

Arrangement B

Computed, not measured: a relaxed structure of Pr5Y2Mg at the PBE level of DFT.

- crystal system = tetragonal

a b c (Å): 7.249 7.249 10.188
angles (deg): 90.00 90.00 90.00
Space group I4/mmm (No. 139)
Symmetry-distinct sites (fractional):
Pr (0.000, 0.000, 0.000)
Pr (0.250, 0.250, 0.250)
Y (0.000, 0.500, 0.000)
Mg (0.000, 0.000, 0.500)

---

Going by the computed energies, the most stable comes first: arrangement A, arrangement B.

---

Arrangement A

Computed, not measured: a relaxed structure of PrY2Mg at the PBE level of DFT.

- crystal system = tetragonal

a b c (Å): 3.724 3.724 8.947
angles (deg): 90.00 90.00 90.00
Space group P4/mmm (No. 123)
Symmetry-distinct sites (fractional):
Pr (0.000, 0.000, 0.000)
Y (0.500, 0.500, 0.282)
Mg (0.000, 0.000, 0.500)

---

Arrangement B

Computed, not measured: a relaxed structure of PrY2Mg at the PBE level of DFT.

- crystal system = trigonal

a b c (Å): 3.6141 3.6141 33.6864
angles (deg): 90.00 90.00 120.00
Space group R3m (No. 160, hexagonal axes)
Symmetry-distinct sites (fractional):
Pr (0.0000, 0.0000, 0.0000)
Y (0.0000, 0.0000, 0.2444)
Y (0.0000, 0.0000, 0.4227)
Mg (0.0000, 0.0000, 0.8338)

---

Arrangement C

Computed, not measured: a relaxed structure of PrY2Mg at the PBE level of DFT.

- crystal system = orthorhombic

a b c (Å): 3.857 5.633 11.532
angles (deg): 90.00 90.00 90.00
Space group Immm (No. 71)
Symmetry-distinct sites (fractional):
Pr (0.000, 0.000, 0.000)
Y (0.000, 0.500, 0.227)
Mg (0.000, 0.000, 0.500)

---

Arrangement D

Computed, not measured: a relaxed structure of PrY2Mg at the PBE level of DFT.

- crystal system = cubic

a b c (Å): 7.910 7.910 7.910
angles (deg): 90.00 90.00 90.00
Space group Fm-3m (No. 225)
Symmetry-distinct sites (fractional):
Pr (0.000, 0.000, 0.000)
Y (0.250, 0.250, 0.250)
Mg (0.000, 0.000, 0.500)

---

Going by the computed energies, the most stable comes first: arrangement A, arrangement C, arrangement B, arrangement D.

---

Arrangement A

Computed, not measured: a relaxed structure of PrY2Mg at the PBE level of DFT.

- crystal system = trigonal

a b c (Å): 3.5987 3.5987 33.6423
angles (deg): 90.00 90.00 120.00
Space group R-3m (No. 166, hexagonal axes)
Symmetry-distinct sites (fractional):
Pr (0.0000, 0.0000, 0.0000)
Y (0.0000, 0.0000, 0.2450)
Mg (0.0000, 0.0000, 0.5000)

---

Arrangement B

Computed, not measured: a relaxed structure of PrY2Mg at the PBE level of DFT.

- crystal system = tetragonal

a b c (Å): 4.970 4.970 5.027
angles (deg): 90.00 90.00 90.00
Space group P4/mmm (No. 123)
Symmetry-distinct sites (fractional):
Pr (0.000, 0.000, 0.000)
Y (0.000, 0.500, 0.500)
Mg (0.500, 0.500, 0.000)

---

Going by the computed energies, the most stable comes first: arrangement A, arrangement B.

---

Arrangement A

Computed, not measured: a relaxed structure of PrYMg3 at the PBE level of DFT.

- crystal system = orthorhombic

a b c (Å): 6.421 15.297 5.889
angles (deg): 90.00 90.00 90.00
Space group Cmcm (No. 63)
Symmetry-distinct sites (fractional):
Pr (0.000, 0.104, 0.250)
Y (0.000, 0.308, 0.750)
Mg (0.000, 0.500, 0.000)
Mg (0.240, 0.360, 0.250)

---

Arrangement B

Computed, not measured: a relaxed structure of PrYMg3 at the PBE level of DFT.

- crystal system = monoclinic

a b c (Å): 20.235 10.750 5.274
angles (deg): 90.00 105.09 90.00
Space group C2/c (No. 15)
Symmetry-distinct sites (fractional):
Pr (0.199, 0.126, 0.449)
Y (0.000, 0.129, 0.250)
Y (0.000, 0.369, 0.750)
Mg (0.095, 0.122, 0.846)
Mg (0.107, 0.387, 0.356)
Mg (0.189, 0.354, 0.938)

---

Going by the computed energies, the most stable comes first: arrangement B, arrangement A.

---

Arrangement A

Computed, not measured: a relaxed structure of Pr2YMg4 at the PBE level of DFT.

- crystal system = tetragonal

a b c (Å): 5.600 5.600 16.463
angles (deg): 90.00 90.00 90.00
Space group I4/mmm (No. 139)
Symmetry-distinct sites (fractional):
Pr (0.000, 0.000, 0.108)
Y (0.000, 0.000, 0.500)
Mg (0.000, 0.000, 0.316)
Mg (0.000, 0.500, 0.000)

---

Arrangement B

Computed, not measured: a relaxed structure of Pr2YMg4 at the PBE level of DFT.

- crystal system = tetragonal

a b c (Å): 5.476 5.476 14.729
angles (deg): 90.00 90.00 90.00
Space group I4/mmm (No. 139)
Symmetry-distinct sites (fractional):
Pr (0.000, 0.000, 0.246)
Y (0.000, 0.000, 0.500)
Mg (0.000, 0.500, 0.113)

---

Going by the computed energies, the most stable comes first: arrangement B, arrangement A.

---

Arrangement A

Computed, not measured: a relaxed structure of PrY4Mg at the PBE level of DFT.

- crystal system = tetragonal

a b c (Å): 3.652 3.652 14.197
angles (deg): 90.00 90.00 90.00
Space group P4/mmm (No. 123)
Symmetry-distinct sites (fractional):
Pr (0.000, 0.000, 0.000)
Y (0.000, 0.000, 0.354)
Y (0.500, 0.500, 0.180)
Mg (0.500, 0.500, 0.500)

---

Arrangement B

Computed, not measured: a relaxed structure of PrY4Mg at the PBE level of DFT.

- crystal system = monoclinic

a b c (Å): 10.637 6.196 11.965
angles (deg): 90.00 106.79 90.00
Space group C2/c (No. 15)
Symmetry-distinct sites (fractional):
Pr (0.250, 0.250, 0.000)
Y (0.082, 0.247, 0.501)
Y (0.166, 0.418, 0.251)
Mg (0.000, 0.079, 0.750)

---

Going by the computed energies, the most stable comes first: arrangement A, arrangement B.

---

Arrangement A

Computed, not measured: a relaxed structure of Pr4Y2Mg at the PBE level of DFT.

- crystal system = monoclinic

a b c (Å): 6.036 3.725 11.117
angles (deg): 90.00 99.57 90.00
Space group P2/m (No. 10)
Symmetry-distinct sites (fractional):
Pr (0.043, 0.000, 0.204)
Pr (0.440, 0.500, 0.751)
Y (0.000, 0.500, 0.500)
Y (0.500, 0.000, 0.500)
Mg (0.500, 0.000, 0.000)

---

Arrangement B

Computed, not measured: a relaxed structure of Pr4Y2Mg at the PBE level of DFT.

- crystal system = monoclinic

a b c (Å): 17.156 3.550 8.844
angles (deg): 90.00 117.36 90.00
Space group C2/m (No. 12)
Symmetry-distinct sites (fractional):
Pr (0.082, 0.000, 0.205)
Pr (0.134, 0.500, 0.898)
Y (0.218, 0.000, 0.640)
Mg (0.000, 0.000, 0.500)

---

Going by the computed energies, the most stable comes first: arrangement B, arrangement A.

---

Arrangement A

Computed, not measured: a relaxed structure of Pr4Y7Mg at the PBE level of DFT.

- crystal system = monoclinic

a b c (Å): 16.876 5.917 9.905
angles (deg): 90.00 124.25 90.00
Space group C2/m (No. 12)
Symmetry-distinct sites (fractional):
Pr (0.079, 0.000, 0.436)
Pr (0.224, 0.500, 0.695)
Y (0.000, 0.000, 0.000)
Y (0.047, 0.500, 0.739)
Y (0.182, 0.500, 0.331)
Y (0.198, 0.000, 0.881)
Mg (0.000, 0.500, 0.000)

---

Arrangement B

Computed, not measured: a relaxed structure of Pr4Y7Mg at the PBE level of DFT.

- crystal system = triclinic

a b c (Å): 6.028 6.935 10.170
angles (deg): 70.42 88.28 89.81
Space group P-1 (No. 2)
Symmetry-distinct sites (fractional):
Pr (0.233, 0.363, 0.235)
Pr (0.252, 0.319, 0.861)
Y (0.234, 0.897, 0.240)
Y (0.254, 0.962, 0.588)
Y (0.259, 0.791, 0.934)
Y (0.500, 0.500, 0.500)
Mg (0.000, 0.500, 0.500)

---

Going by the computed energies, the most stable comes first: arrangement B, arrangement A.